Compound: Y3Sc3Sb2Os
Source: OQMD
Functional: PBE-GGA
Structure: optimized geometry

Polymorph energy (0 for the lowest one) ... 209.1 meV per atom
VASP energy ... -6.982 eV/atom
Density ... 6.156 g/cm³

a = 8.024 Å, b = 8.024 Å, c = 4.040 Å
α = 90.00°, β = 90.00°, γ = 120.00°
Sites, in units of the cell vectors:
Os (0.000, 0.000, 0.000)
Sb (0.667, 0.333, 0.500)
Sb (0.333, 0.667, 0.500)
Sc (0.611, 0.000, 0.000)
Sc (0.389, 0.389, 0.000)
Sc (0.000, 0.611, 0.000)
Y (0.246, 0.000, 0.500)
Y (0.000, 0.246, 0.500)
Y (0.754, 0.754, 0.500)